! RbBeP2S (GGA-PBE, optimized geometry); values from VASP
&SYSTEM
  ibrav = 0, nat = 5, ntyp = 4
/
ATOMIC_SPECIES
S 32.06 S.upf
P 30.97 P.upf
Be 9.01 Be.upf
Rb 85.47 Rb.upf
ATOMIC_POSITIONS angstrom
S 1.6111 1.5500 1.1257
P 0.1263 -1.3957 1.7409
P -1.7057 1.0637 0.9765
Be 0.0000 0.0000 0.0000
Rb 0.0317 1.2180 3.8431
CELL_PARAMETERS angstrom
-3.4114 2.1275 1.9531
0.2526 -2.7913 3.4818
3.2222 3.0999 2.2515
! Crystal system = tetragonal
! Magnetization = 0.128 μB per atom
! D(E_F) = 3.1 states/eV per cell
! Relative energy among the computed polymorphs = 0.0000 eV per atom
! Theoretical density = 3.1 g cm⁻³
! E_form (uncorrected) = 0.33 eV/atom


! AlP2RuO (GGA-PBE, optimized geometry); values from VASP
&SYSTEM
  ibrav = 0, nat = 5, ntyp = 4
/
ATOMIC_SPECIES
P 30.97 P.upf
O 16.00 O.upf
Al 26.98 Al.upf
Ru 101.07 Ru.upf
ATOMIC_POSITIONS angstrom
P -0.9081 -0.4678 2.1751
P -1.6184 -1.4732 -0.9925
O -1.0457 1.2603 -0.1655
Al 0.0000 0.0000 0.0000
Ru -3.5722 -0.6807 1.0171
CELL_PARAMETERS angstrom
-3.2368 -2.9464 -1.9850
-1.8162 -0.9356 4.3502
-2.0914 2.5205 -0.3310
! Crystal system = tetragonal
! Magnetization = 0.192 μB per atom
! D(E_F) = 5.2 states/eV per cell
! Relative energy among the computed polymorphs = 0.0179 eV per atom
! Theoretical density = 4.5 g cm⁻³
! E_form (uncorrected) = 0.15 eV/atom


! CdIn3Au2 (GGA-PBE, optimized geometry); values from VASP
&SYSTEM
  ibrav = 0, nat = 12, ntyp = 3
/
ATOMIC_SPECIES
In 114.82 In.upf
Au 196.97 Au.upf
Cd 112.41 Cd.upf
ATOMIC_POSITIONS angstrom
In 2.8871 0.4283 6.1964
In 0.7927 4.6679 5.4623
In 1.8288 3.4658 10.0405
In 3.4987 3.4557 3.9747
In 2.4405 6.4932 7.8188
In 4.5349 2.2535 8.5529
Au 1.0462 1.9357 4.5414
Au 2.1409 0.8035 8.9069
Au 3.1867 6.1179 5.1083
Au 4.2814 4.9857 9.4737
Cd 1.4217 6.1220 11.5196
Cd 3.9059 0.7995 2.4956
CELL_PARAMETERS angstrom
4.2694 0.0000 1.1754
1.2039 7.4196 3.9687
-0.1457 -0.4981 8.8711
! Crystal system = monoclinic
! Magnetization = 0.000 μB per atom
! Energy relative to the elements = -0.1233 eV/atom
! D(E_F) = 4.2 states/eV per cell
! Theoretical density = 9.7 g cm⁻³


! Tb2CoSn3 (GGA-PBE, optimized geometry); values from VASP
&SYSTEM
  ibrav = 0, nat = 6, ntyp = 3
/
ATOMIC_SPECIES
Tb 158.93 Tb.upf
Sn 118.71 Sn.upf
Co 58.93 Co.upf
ATOMIC_POSITIONS angstrom
Tb 3.2851 4.5680 4.0426
Tb 2.6023 1.0333 5.6731
Sn 1.9737 4.1149 7.1739
Sn 3.8482 1.4512 2.6980
Sn 4.8001 3.2147 6.3684
Co 1.4156 2.0248 2.5632
CELL_PARAMETERS angstrom
4.2353 0.0000 1.7737
1.8216 5.4059 1.5938
-0.0819 0.0630 6.1389
! Crystal system = monoclinic
! Magnetization = 0.000 μB per atom
! Energy relative to the elements = -0.5002 eV/atom
! D(E_F) = 3.6 states/eV per cell
! Relative energy among the computed polymorphs = 0.0000 eV per atom
! Theoretical density = 8.6 g cm⁻³


! Tb2Ho2Sc (GGA-PBE, optimized geometry); values from VASP
&SYSTEM
  ibrav = 0, nat = 10, ntyp = 3
/
ATOMIC_SPECIES
Sc 44.96 Sc.upf
Tb 158.93 Tb.upf
Ho 164.93 Ho.upf
ATOMIC_POSITIONS angstrom
Sc 0.0000 0.0000 0.0000
Sc -3.2625 0.4587 -5.4832
Tb -0.9146 -2.1833 -5.3381
Tb -4.1485 -0.5091 -8.7683
Tb -2.3764 1.4265 -2.1980
Tb -5.6104 3.1007 -5.6283
Ho -6.7176 0.3896 -7.1645
Ho -5.6160 1.7918 -2.7531
Ho -3.5269 -3.1257 -6.8440
Ho -2.4253 -1.7235 -2.4325
CELL_PARAMETERS angstrom
-6.4167 5.5260 -3.1825
-0.1082 -4.6085 -7.7839
-2.6180 -2.2513 1.3693
! Crystal system = tetragonal
! Magnetization = 0.000 μB per atom
! Energy relative to the elements = 0.1723 eV/atom
! D(E_F) = 7.9 states/eV per cell
! Relative energy among the computed polymorphs = 0.1351 eV per atom
! Theoretical density = 7.6 g cm⁻³


! Y2ScPd (GGA-PBE, optimized geometry); values from VASP
&SYSTEM
  ibrav = 0, nat = 4, ntyp = 3
/
ATOMIC_SPECIES
Pd 106.42 Pd.upf
Y 88.91 Y.upf
Sc 44.96 Sc.upf
ATOMIC_POSITIONS angstrom
Pd -2.9901 -0.4460 2.8381
Y -0.1466 -0.9596 2.7285
Y 3.5114 -2.9580 6.2808
Sc 0.1729 -2.1739 5.9097
CELL_PARAMETERS angstrom
-1.9226 1.3279 2.7269
-2.5690 -1.9934 1.5240
4.8566 -3.6929 7.5872
! Crystal system = trigonal
! Magnetization = 0.129 μB per atom
! Energy relative to the elements = -0.2431 eV/atom
! D(E_F) = 4.5 states/eV per cell
! Relative energy among the computed polymorphs = 0.1434 eV per atom
! Theoretical density = 5.1 g cm⁻³


! BaFeSbRu2 (GGA-PBE, optimized geometry); values from VASP
&SYSTEM
  ibrav = 0, nat = 5, ntyp = 4
/
ATOMIC_SPECIES
Sb 121.76 Sb.upf
Ru 101.07 Ru.upf
Ba 137.33 Ba.upf
Fe 55.84 Fe.upf
ATOMIC_POSITIONS angstrom
Sb 0.0000 2.4282 0.0000
Ru 2.3777 0.0000 0.0000
Ru 0.0000 0.0000 2.3777
Ba 2.3777 2.4282 2.3777
Fe 0.0000 0.0000 0.0000
CELL_PARAMETERS angstrom
4.7555 0.0000 0.0000
0.0000 4.8564 0.0000
0.0000 0.0000 4.7555
! Crystal system = tetragonal
! Magnetization = 0.322 μB per atom
! D(E_F) = 7.1 states/eV per cell
! Theoretical density = 7.8 g cm⁻³
! E_form (uncorrected) = 0.72 eV/atom


! CeHo2Ta (GGA-PBE, optimized geometry); values from VASP
&SYSTEM
  ibrav = 0, nat = 4, ntyp = 3
/
ATOMIC_SPECIES
Ho 164.93 Ho.upf
Ta 180.95 Ta.upf
Ce 140.12 Ce.upf
ATOMIC_POSITIONS angstrom
Ho 7.7760 1.7272 3.9825
Ho 1.6765 -0.6590 6.0229
Ta 0.0000 0.0000 0.0000
Ce 4.7262 0.5341 5.0027
CELL_PARAMETERS angstrom
-1.0191 0.8000 2.9357
-0.0463 -2.1987 2.3368
10.5179 2.4669 4.7328
! Crystal system = trigonal
! Magnetization = 0.029 μB per atom
! Energy relative to the elements = 0.5730 eV/atom
! D(E_F) = 7.2 states/eV per cell
! Theoretical density = 10.4 g cm⁻³


! K2TaCuTe4 (GGA-PBE, optimized geometry); values from VASP
&SYSTEM
  ibrav = 0, nat = 16, ntyp = 4
/
ATOMIC_SPECIES
K 39.10 K.upf
Te 127.60 Te.upf
Ta 180.95 Ta.upf
Cu 63.55 Cu.upf
ATOMIC_POSITIONS angstrom
K -0.2085 2.0592 8.2842
K 2.3224 8.1828 2.4868
K -0.7365 5.8809 4.9914
K 4.2556 10.7567 8.2695
Te 4.2287 10.9649 4.5677
Te -0.4036 1.9524 4.5917
Te 2.3493 7.9746 6.1886
Te 4.4455 10.8661 11.9707
Te 3.1769 4.0778 7.8744
Te 2.7922 0.3162 6.9785
Te 2.4271 4.4555 3.6851
Te 3.1095 7.5916 10.3605
Ta -1.4843 0.7661 2.4994
Ta 3.5079 5.6419 5.7775
Cu 2.0236 6.4079 8.2769
Cu 0.0000 0.0000 0.0000
CELL_PARAMETERS angstrom
-2.9686 1.5321 4.9988
3.9455 -2.0140 6.5760
4.5545 12.5316 2.4795
! Crystal system = orthorhombic
! Magnetization = 0.000 μB per atom
! Theoretical density = 4.7 g cm⁻³
! E_form (uncorrected) = -0.62 eV/atom


! Mn3BiMo (GGA-PBE, optimized geometry); values from VASP
&SYSTEM
  ibrav = 0, nat = 5, ntyp = 3
/
ATOMIC_SPECIES
Mn 54.94 Mn.upf
Bi 208.98 Bi.upf
Mo 95.94 Mo.upf
ATOMIC_POSITIONS angstrom
Mn 2.1702 -0.8102 0.3324
Mn -0.5343 -1.9289 -1.2127
Mn -0.6938 -1.0487 1.9738
Bi 0.9421 -3.7878 1.0935
Mo 0.0000 0.0000 0.0000
CELL_PARAMETERS angstrom
-1.3876 -2.0974 3.9475
-1.0686 -3.8578 -2.4254
4.3405 -1.6203 0.6648
! Crystal system = cubic
! Magnetization = 1.614 μB per atom
! Energy relative to the elements = 1.0953 eV/atom
! D(E_F) = 6.9 states/eV per cell
! Relative energy among the computed polymorphs = 0.0000 eV per atom
! Theoretical density = 7.6 g cm⁻³


! LaCoCl (GGA-PBE, optimized geometry); values from VASP
&SYSTEM
  ibrav = 0, nat = 3, ntyp = 3
/
ATOMIC_SPECIES
Co 58.93 Co.upf
La 138.91 La.upf
Cl 35.45 Cl.upf
ATOMIC_POSITIONS angstrom
Co 0.0000 0.0000 0.0000
La 4.6813 2.7027 1.9111
Cl 2.3406 1.3514 0.9556
CELL_PARAMETERS angstrom
4.6813 0.0000 0.0000
2.3406 4.0541 0.0000
2.3406 1.3514 3.8222
! Crystal system = cubic
! Magnetization = 0.332 μB per atom
! D(E_F) = 6.6 states/eV per cell
! Theoretical density = 5.3 g cm⁻³
! E_form (uncorrected) = -0.16 eV/atom


! LaPm2Sc2 (GGA-PBE, optimized geometry); values from VASP
&SYSTEM
  ibrav = 0, nat = 10, ntyp = 3
/
ATOMIC_SPECIES
Sc 44.96 Sc.upf
Pm 145.00 Pm.upf
La 138.91 La.upf
ATOMIC_POSITIONS angstrom
Sc 3.4360 7.3242 10.9409
Sc 4.0831 1.4913 1.5590
Sc 3.6390 4.3485 3.4518
Sc 2.9918 10.1814 12.8337
Pm 2.5777 7.2753 7.5059
Pm 5.9659 7.2546 8.2624
Pm 4.4972 4.3975 6.8868
Pm 1.1090 4.4181 6.1303
La 6.0644 4.2858 1.0195
La 0.7624 1.4286 0.6802
CELL_PARAMETERS angstrom
5.9336 0.0000 -1.6042
0.8933 5.7144 3.3039
0.2481 5.9584 12.6930
! Crystal system = monoclinic
! Magnetization = 0.000 μB per atom
! Energy relative to the elements = 0.0620 eV/atom
! D(E_F) = 17.7 states/eV per cell
! Theoretical density = 5.6 g cm⁻³